Record 1
# Al2Ga2Ag

A relaxed Al2Ga2Ag crystal (GGA-PBE, Alexandria via LeMat-Bulk).

Output
Symmetry: I4/mmm, No. 139
Excess energy over the best structure of this formula in the dataset in eV/atom: 0.102

POSCAR file:
```
Al2Ga2Ag
1.0
-2.120 -3.436 -0.216
0.828 -0.262 -3.949
4.115 -4.863 -0.885
Ag Al Ga
1 2 2
direct
0.000 0.000 0.000
0.250 0.750 0.500
0.750 0.250 0.500
0.395 0.395 0.210
0.605 0.605 0.790
```



Record 2
# AlGa12Ag6

A relaxed AlGa12Ag6 crystal (GGA-PBE, Alexandria via LeMat-Bulk).

Output
Symmetry: R-3, No. 148
Excess energy over the best structure of this formula in the dataset in eV/atom: 0.017

POSCAR file:
```
AlGa12Ag6
1.0
-4.174 -3.412 4.863
3.341 -5.804 -2.804
5.271 2.212 4.476
Ga Ag Al
12 6 1
direct
0.310 0.019 0.834
0.690 0.981 0.166
0.166 0.690 0.981
0.019 0.834 0.310
0.362 0.812 0.502
0.188 0.498 0.638
0.834 0.310 0.019
0.498 0.638 0.188
0.638 0.188 0.498
0.981 0.166 0.690
0.812 0.502 0.362
0.502 0.362 0.812
0.840 0.535 0.739
0.465 0.261 0.160
0.261 0.160 0.465
0.535 0.739 0.840
0.739 0.840 0.535
0.160 0.465 0.261
0.000 0.000 0.000
```



Record 3
# AlGa6Ag3

A relaxed AlGa6Ag3 crystal (GGA-PBE, Alexandria via LeMat-Bulk).

Output
Symmetry: P-3m1, No. 164
Excess energy over the best structure of this formula in the dataset in eV/atom: 0.000

POSCAR file:
```
AlGa6Ag3
1.0
-2.849 -0.933 0.862
1.238 -1.033 -2.670
8.502 -16.437 10.303
Ga Ag Al
6 3 1
direct
0.667 0.333 0.599
0.333 0.667 0.802
0.667 0.333 0.900
0.667 0.333 0.198
0.333 0.667 0.401
0.333 0.667 0.100
0.000 0.000 0.000
0.000 0.000 0.701
0.000 0.000 0.299
0.000 0.000 0.500
```



Record 4
# Al6Ga2Ag3

A relaxed Al6Ga2Ag3 crystal (GGA-PBE, Alexandria via LeMat-Bulk).

Output
Symmetry: R-3m, No. 166

POSCAR file:
```
Al6Ga2Ag3
1.0
2.988 0.000 0.183
1.488 2.591 0.183
0.009 0.005 24.289
Ga Ag Al
2 3 6
direct
0.546 0.546 0.363
0.454 0.454 0.637
0.727 0.727 0.818
0.000 0.000 0.000
0.273 0.273 0.182
0.636 0.636 0.091
0.364 0.364 0.909
0.818 0.818 0.546
0.091 0.091 0.728
0.909 0.909 0.272
0.182 0.182 0.454
```



Record 5
# AlGa2Ag

A relaxed AlGa2Ag crystal (GGA-PBE, Alexandria via LeMat-Bulk).

Output
Symmetry: P3m1, No. 156

POSCAR file:
```
AlGa2Ag
1.0
-2.703 -0.156 1.239
2.431 -0.033 1.720
-0.279 9.402 0.573
Ag Ga Al
1 2 1
direct
0.667 0.333 0.527
0.667 0.333 0.247
0.333 0.667 0.764
0.000 0.000 0.006
```



Record 6
# Al7Ga3Ag

A relaxed Al7Ga3Ag crystal (GGA-PBE, Alexandria via LeMat-Bulk).

Output
Symmetry: C2/m, No. 12

POSCAR file:
```
Al7Ga3Ag
1.0
0.533 0.325 6.931
2.701 -5.173 -2.126
3.866 4.076 -2.649
Al Ga Ag
7 3 1
direct
0.269 0.123 0.621
0.269 0.621 0.123
0.000 0.500 0.500
0.241 0.130 0.130
0.731 0.379 0.877
0.731 0.877 0.379
0.759 0.870 0.870
0.000 0.234 0.766
0.000 0.766 0.234
0.500 0.000 0.000
0.500 0.500 0.500
```



no.,energy relative to the elements (eV/atom),Fermi-level density of states (states/eV/cell),DFT total energy (eV/atom)
1,0.125,1.33,-3.153
2,0.066,6.10,-2.943
3,0.007,1.83,-3.038
4,0.002,3.90,-3.367
5,0.045,1.53,-3.117
6,0.187,3.81,-3.280